# Li2ZnAg | the Alexandria database | GGA-PBEsol | optimized geometry
data_Li2ZnAg
_chemical_formula_sum 'Li8 Zn4 Ag4'
_cell_length_a 6.184
_cell_length_b 6.184
_cell_length_c 6.184
_cell_angle_alpha 90.00
_cell_angle_beta 90.00
_cell_angle_gamma 90.00
_symmetry_space_group_name_H-M 'F -4 3 m'
_symmetry_Int_Tables_number 216
_symmetry_space_group_name_Hall 'F -4 2 3'
loop_
_atom_site_label
_atom_site_fract_x
_atom_site_fract_y
_atom_site_fract_z
_atom_site_occupancy
Li1 0.000 0.000 0.000 1
Li2 0.250 0.250 0.250 1
Zn1 0.250 0.250 0.750 1
Ag1 0.000 0.000 0.500 1
# M_tot: 0.00 μB per formula unit
# volume: 14.8 Å³/atom
# calculated formation energy: -0.204 eV/atom
# DFT total energy: -2.41 eV/atom
# DOS at the Fermi energy: 5.67 states/eV/cell


# LiZnAg2 | the Alexandria database | GGA-PBEsol | optimized geometry
data_LiZnAg2
_chemical_formula_sum 'Li3 Zn3 Ag6'
_cell_length_a 2.8360
_cell_length_b 2.8360
_cell_length_c 26.9705
_cell_angle_alpha 90.00
_cell_angle_beta 90.00
_cell_angle_gamma 120.00
_symmetry_space_group_name_H-M 'R 3 m'
_symmetry_Int_Tables_number 160
_symmetry_space_group_name_Hall 'R 3 -2"'
loop_
_atom_site_label
_atom_site_fract_x
_atom_site_fract_y
_atom_site_fract_z
_atom_site_occupancy
Li1 0.0000 0.0000 0.0000 1
Zn1 0.0000 0.0000 0.2526 1
Ag1 0.0000 0.0000 0.5042 1
Ag2 0.0000 0.0000 0.7488 1
# M_tot: 0.00 μB per formula unit
# volume: 15.7 Å³/atom
# calculated formation energy: -0.076 eV/atom
# DFT total energy: -2.62 eV/atom
# DOS at the Fermi energy: 3.32 states/eV/cell


# LiZnAg2 | the Alexandria database | GGA-PBEsol | optimized geometry
data_LiZnAg2
_chemical_formula_sum 'Li1 Zn1 Ag2'
_cell_length_a 3.197
_cell_length_b 3.197
_cell_length_c 5.869
_cell_angle_alpha 90.00
_cell_angle_beta 90.00
_cell_angle_gamma 90.00
_symmetry_space_group_name_H-M 'P 4/m m m'
_symmetry_Int_Tables_number 123
_symmetry_space_group_name_Hall '-P 4 2'
loop_
_atom_site_label
_atom_site_fract_x
_atom_site_fract_y
_atom_site_fract_z
_atom_site_occupancy
Li1 0.000 0.000 0.000 1
Zn1 0.000 0.000 0.500 1
Ag1 0.500 0.500 0.249 1
# M_tot: 0.00 μB per formula unit
# volume: 15.0 Å³/atom
# calculated formation energy: -0.139 eV/atom
# DFT total energy: -2.68 eV/atom
# DOS at the Fermi energy: 1.23 states/eV/cell